1.
{
  "formula": "Pr2BrN",
  "functional": "PBE",
  "state": "optimized geometry",
  "m_tot_mub_per_fu": 0.00,
  "final_energy_ev_per_fu": -25.1,
  "sg": "P-6m2 (187)",
  "lattice_angstrom": [[3.7396, 0.0000, 0.0000], [-1.8698, 3.2386, 0.0000], [0.0000, 0.0000, 14.7858]],
  "species": ["N", "N", "Br", "Br", "Pr", "Pr", "Pr", "Pr"],
  "fractional_positions": [[0.6667, 0.3333, 0.2505], [0.6667, 0.3333, 0.7495], [0.3333, 0.6667, 0.5000], [0.0000, 0.0000, 0.0000], [0.3333, 0.6667, 0.8403], [0.0000, 0.0000, 0.6584], [0.3333, 0.6667, 0.1597], [0.0000, 0.0000, 0.3416]]
}



2.
{
  "formula": "PrBrN",
  "functional": "PBE",
  "state": "optimized geometry",
  "m_tot_mub_per_fu": 0.99,
  "final_energy_ev_per_fu": -17.8,
  "sg": "Pmmn (59)",
  "lattice_angstrom": [[-1.8599, -3.2153, -1.7267], [3.7903, -1.3346, -1.5975], [1.4727, -4.9482, 7.6281]],
  "species": ["Br", "Br", "N", "N", "Pr", "Pr"],
  "fractional_positions": [[0.0000, 0.0000, 0.1334], [0.5000, 0.5000, 0.8666], [0.5000, 0.5000, 0.4794], [0.0000, 0.0000, 0.5206], [0.5000, 0.0000, 0.3671], [0.0000, 0.5000, 0.6329]]
}



3.
{
  "formula": "Pr6S4BrN3",
  "functional": "PBE",
  "state": "optimized geometry",
  "m_tot_mub_per_fu": 0.01,
  "final_energy_ev_per_fu": -97.1,
  "sg": "Pnma (62)",
  "lattice_angstrom": [[-1.9260, 9.5013, -6.2847], [-3.6516, -1.4325, -1.0466], [-11.1169, 12.2831, 21.9766]],
  "species": ["N", "N", "N", "N", "N", "N", "N", "N", "N", "N", "N", "N", "Pr", "Pr", "Pr", "Pr", "Pr", "Pr", "Pr", "Pr", "Pr", "Pr", "Pr", "Pr", "Pr", "Pr", "Pr", "Pr", "Pr", "Pr", "Pr", "Pr", "Pr", "Pr", "Pr", "Pr", "S", "S", "S", "S", "S", "S", "S", "S", "S", "S", "S", "S", "S", "S", "S", "S", "Br", "Br", "Br", "Br"],
  "fractional_positions": [[0.3864, 0.7500, 0.2622], [0.8864, 0.7500, 0.2378], [0.4376, 0.7500, 0.3747], [0.9376, 0.7500, 0.1253], [0.1136, 0.2500, 0.7622], [0.5624, 0.2500, 0.6253], [0.6136, 0.2500, 0.7378], [0.5988, 0.2500, 0.9862], [0.4012, 0.7500, 0.0138], [0.0624, 0.2500, 0.8747], [0.0988, 0.2500, 0.5138], [0.9012, 0.7500, 0.4862], [0.5619, 0.7500, 0.3074], [0.7509, 0.7500, 0.4359], [0.9003, 0.2500, 0.5356], [0.5997, 0.7500, 0.0356], [0.1257, 0.7500, 0.7166], [0.9381, 0.2500, 0.8074], [0.2457, 0.2500, 0.8290], [0.2543, 0.7500, 0.3290], [0.6257, 0.7500, 0.7834], [0.7457, 0.2500, 0.6710], [0.4415, 0.2500, 0.4221], [0.0997, 0.7500, 0.4644], [0.9415, 0.2500, 0.0779], [0.4003, 0.2500, 0.9644], [0.8743, 0.2500, 0.2834], [0.2509, 0.7500, 0.0641], [0.7491, 0.2500, 0.9359], [0.2491, 0.2500, 0.5641], [0.4381, 0.2500, 0.6926], [0.5585, 0.7500, 0.5779], [0.0619, 0.7500, 0.1926], [0.7543, 0.7500, 0.1710], [0.3743, 0.2500, 0.2166], [0.0585, 0.7500, 0.9221], [0.3573, 0.7500, 0.5057], [0.3099, 0.7500, 0.6377], [0.2943, 0.7500, 0.8977], [0.1350, 0.2500, 0.2643], [0.2057, 0.2500, 0.3977], [0.1427, 0.2500, 0.0057], [0.3650, 0.7500, 0.7643], [0.7057, 0.2500, 0.1023], [0.6350, 0.2500, 0.2357], [0.7943, 0.7500, 0.6023], [0.1901, 0.2500, 0.1377], [0.6901, 0.2500, 0.3623], [0.8650, 0.7500, 0.7357], [0.8099, 0.7500, 0.8623], [0.8573, 0.7500, 0.9943], [0.6427, 0.2500, 0.4943], [0.4609, 0.7500, 0.1373], [0.9609, 0.7500, 0.3627], [0.5391, 0.2500, 0.8627], [0.0391, 0.2500, 0.6373]]
}



4.
{
  "formula": "Pr3SmBr2N2",
  "functional": "PBE",
  "state": "optimized geometry",
  "m_tot_mub_per_fu": 0.01,
  "final_energy_ev_per_fu": -50.3,
  "sg": "P3m1 (156)",
  "lattice_angstrom": [[3.7242, 0.0000, 0.0000], [-1.8621, 3.2252, 0.0000], [0.0000, 0.0000, 14.6847]],
  "species": ["Br", "Br", "Pr", "Pr", "Pr", "Sm", "N", "N"],
  "fractional_positions": [[0.6667, 0.3333, 0.2438], [0.0000, 0.0000, 0.7507], [0.6667, 0.3333, 0.9100], [0.6667, 0.3333, 0.5905], [0.0000, 0.0000, 0.4073], [0.0000, 0.0000, 0.0888], [0.3333, 0.6667, 0.4987], [0.3333, 0.6667, 0.0100]]
}



5.
{
  "formula": "PrSmBr3N",
  "functional": "PBE",
  "state": "optimized geometry",
  "m_tot_mub_per_fu": 0.00,
  "final_energy_ev_per_fu": -33.7,
  "sg": "C2/m (12)",
  "lattice_angstrom": [[9.1635, -2.0237, 0.0000], [9.1635, 2.0237, 0.0000], [-6.4923, 0.0000, 9.8156]],
  "species": ["Sm", "Sm", "Br", "Br", "Br", "Br", "Br", "Br", "N", "N", "Pr", "Pr"],
  "fractional_positions": [[0.5765, 0.5765, 0.4583], [0.4235, 0.4235, 0.5417], [0.0418, 0.0418, 0.2504], [0.6654, 0.6654, 0.0114], [0.2161, 0.2161, 0.6152], [0.7839, 0.7839, 0.3848], [0.9582, 0.9582, 0.7496], [0.3346, 0.3346, 0.9886], [0.5732, 0.5732, 0.6511], [0.4268, 0.4268, 0.3489], [0.1366, 0.1366, 0.7863], [0.8634, 0.8634, 0.2137]]
}



6.
{
  "formula": "Pr2Y2Br5N",
  "functional": "PBE",
  "state": "optimized geometry",
  "m_tot_mub_per_fu": 0.01,
  "final_energy_ev_per_fu": -55.3,
  "sg": "C2/m (12)",
  "lattice_angstrom": [[9.0038, -1.9274, 0.0000], [9.0038, 1.9274, 0.0000], [-1.9008, 0.0000, 8.1763]],
  "species": ["Br", "Br", "Br", "Br", "Br", "Pr", "Pr", "Y", "Y", "N"],
  "fractional_positions": [[0.1736, 0.1736, 0.8402], [0.8312, 0.8312, 0.6716], [0.1688, 0.1688, 0.3284], [0.5000, 0.5000, 0.5000], [0.8264, 0.8264, 0.1598], [0.9991, 0.9991, 0.2035], [0.0009, 0.0009, 0.7965], [0.6342, 0.6342, 0.0678], [0.3658, 0.3658, 0.9322], [0.5000, 0.5000, 0.0000]]
}



7.
{
  "formula": "PtBrN",
  "functional": "PBE",
  "state": "optimized geometry",
  "m_tot_mub_per_fu": 0.00,
  "final_energy_ev_per_fu": -14.7,
  "sg": "Pmmn (59)",
  "lattice_angstrom": [[3.2985, 0.0000, 0.0000], [0.0000, 4.0725, 0.0000], [0.0000, 0.0000, 8.5171]],
  "species": ["N", "N", "Pt", "Pt", "Br", "Br"],
  "fractional_positions": [[0.5000, 0.5000, 0.9501], [0.0000, 0.0000, 0.0499], [0.0000, 0.5000, 0.1056], [0.5000, 0.0000, 0.8944], [0.5000, 0.5000, 0.3327], [0.0000, 0.0000, 0.6673]]
}



8.
{
  "formula": "Pu2Br3N",
  "functional": "PBE",
  "state": "optimized geometry",
  "m_tot_mub_per_fu": 10.00,
  "final_energy_ev_per_fu": -51.1,
  "sg": "C2/m (12)",
  "lattice_angstrom": [[-9.2655, -1.3411, 0.2674], [-8.0706, -3.2141, 3.5005], [5.0400, 9.6055, 3.7022]],
  "species": ["Pu", "Pu", "Pu", "Pu", "Br", "Br", "Br", "Br", "Br", "Br", "N", "N"],
  "fractional_positions": [[0.4240, 0.4240, 0.5431], [0.1320, 0.1320, 0.7798], [0.8680, 0.8680, 0.2202], [0.5760, 0.5760, 0.4569], [0.3324, 0.3324, 0.9920], [0.9629, 0.9629, 0.7622], [0.7817, 0.7817, 0.3790], [0.0371, 0.0371, 0.2378], [0.6676, 0.6676, 0.0080], [0.2183, 0.2183, 0.6210], [0.4295, 0.4295, 0.3533], [0.5705, 0.5705, 0.6467]]
}



9.
{
  "formula": "TbPuBr3N",
  "functional": "PBE",
  "state": "optimized geometry",
  "m_tot_mub_per_fu": 4.99,
  "final_energy_ev_per_fu": -42.2,
  "sg": "C2/m (12)",
  "lattice_angstrom": [[9.0550, -1.9395, 0.0000], [9.0550, 1.9395, 0.0000], [-6.4331, 0.0000, 9.5761]],
  "species": ["Br", "Br", "Br", "Br", "Br", "Br", "N", "N", "Tb", "Tb", "Pu", "Pu"],
  "fractional_positions": [[0.3349, 0.3349, 0.4897], [0.2175, 0.2175, 0.1179], [0.0430, 0.0430, 0.7486], [0.7825, 0.7825, 0.8821], [0.9570, 0.9570, 0.2514], [0.6651, 0.6651, 0.5103], [0.5745, 0.5745, 0.1548], [0.4255, 0.4255, 0.8452], [0.4231, 0.4231, 0.0408], [0.5769, 0.5769, 0.9592], [0.8662, 0.8662, 0.7165], [0.1338, 0.1338, 0.2835]]
}



10.
{
  "formula": "YPuBr3N",
  "functional": "PBE",
  "state": "optimized geometry",
  "m_tot_mub_per_fu": 4.99,
  "final_energy_ev_per_fu": -44.0,
  "sg": "C2/m (12)",
  "lattice_angstrom": [[-3.9390, -2.0190, -8.3361], [-5.7843, -4.4670, -5.9724], [-3.2497, 8.9288, 6.7102]],
  "species": ["N", "N", "Y", "Y", "Br", "Br", "Br", "Br", "Br", "Br", "Pu", "Pu"],
  "fractional_positions": [[0.4253, 0.4253, 0.8451], [0.5747, 0.5747, 0.1549], [0.4254, 0.4254, 0.0402], [0.5746, 0.5746, 0.9598], [0.7857, 0.7857, 0.8830], [0.6668, 0.6668, 0.5105], [0.2143, 0.2143, 0.1170], [0.0404, 0.0404, 0.7497], [0.9596, 0.9596, 0.2503], [0.3332, 0.3332, 0.4895], [0.1339, 0.1339, 0.2838], [0.8661, 0.8661, 0.7162]]
}



11.
{
  "formula": "SmScBr2N",
  "functional": "PBE",
  "state": "optimized geometry",
  "m_tot_mub_per_fu": 0.01,
  "final_energy_ev_per_fu": -31.0,
  "sg": "P3m1 (156)",
  "lattice_angstrom": [[-1.0986, -0.9535, -3.2809], [3.0145, -1.3950, 1.3589], [-5.4071, -7.7317, 4.0576]],
  "species": ["Br", "Br", "N", "Sc", "Sm"],
  "fractional_positions": [[0.3333, 0.6667, 0.7995], [0.6667, 0.3333, 0.1795], [0.0000, 0.0000, 0.5180], [0.6667, 0.3333, 0.6241], [0.3333, 0.6667, 0.3789]]
}



12.
{
  "formula": "Sm3BrN",
  "functional": "PBE",
  "state": "optimized geometry",
  "m_tot_mub_per_fu": 0.03,
  "final_energy_ev_per_fu": -19.6,
  "sg": "Pm-3m (221)",
  "lattice_angstrom": [[5.3548, 0.0000, 0.0000], [0.0000, 5.3548, 0.0000], [0.0000, 0.0000, 5.3548]],
  "species": ["Br", "Sm", "Sm", "Sm", "N"],
  "fractional_positions": [[0.0000, 0.0000, 0.0000], [0.0000, 0.0000, 0.5000], [0.0000, 0.5000, 0.0000], [0.5000, 0.0000, 0.0000], [0.5000, 0.5000, 0.5000]]
}